Entry 1:
SmThMgGa | PBE | optimized geometry

Cell and atoms, written as POSCAR:
```
SmThMgGa
1.0
5.2942 0.0000 0.0000
2.6471 4.5849 0.0000
2.6471 1.5283 4.3227
Mg Ga Sm Th
1 1 1 1
Cartesian
7.9413 4.5849 3.2420
2.6471 1.5283 1.0807
5.2942 3.0566 2.1613
0.0000 0.0000 0.0000
```

Results
The mass density comes out at 7.5 g/cm³. The value obtained for the magnetic moment is 0.00 μB/cell.

=====

Entry 2:
SmMgTlGa | PBE | optimized geometry

Cell and atoms, written as POSCAR:
```
SmMgTlGa
1.0
-3.3115 -0.0383 -2.9215
2.3235 -2.9264 -2.5954
-1.9996 -3.6402 2.3143
Sm Mg Tl Ga
1 1 1 1
Cartesian
-0.4940 -1.4823 -2.7584
-2.6556 -1.8393 -0.3036
0.1620 -3.2833 -0.1405
0.0000 0.0000 0.0000
```

Results
The mass density comes out at 7.8 g/cm³. As for the energy above the most stable polymorph in this dataset: 0 meV/atom. The value obtained for the magnetic moment is 0.00 μB/cell.

=====

Entry 3:
SmMgTlGa | PBE | optimized geometry

Cell and atoms, written as POSCAR:
```
SmMgTlGa
1.0
-4.8235 -1.0473 -1.4992
-3.1561 -2.6320 3.1181
-3.9779 2.3872 2.2558
Mg Tl Ga Sm
1 1 1 1
Cartesian
0.0000 0.0000 0.0000
-8.9681 -0.9691 2.9060
-2.9894 -0.3230 0.9687
-5.9787 -0.6461 1.9373
```

Results
The mass density comes out at 7.7 g/cm³. As for the energy above the most stable polymorph in this dataset: 70 meV/atom. The value obtained for the magnetic moment is 0.00 μB/cell.

=====

Entry 4:
SmTmMgGa | PBE | optimized geometry

Cell and atoms, written as POSCAR:
```
SmTmMgGa
1.0
-2.0285 4.7106 0.7383
-1.6955 2.7543 -4.0483
-5.0811 0.7664 -0.6667
Mg Tm Ga Sm
1 1 1 1
Cartesian
-6.6038 6.1734 -2.9825
0.0000 0.0000 0.0000
-2.2013 2.0578 -0.9942
-4.4025 4.1156 -1.9883
```

Results
The mass density comes out at 7.0 g/cm³. The value obtained for the magnetic moment is 0.00 μB/cell.

=====

Entry 5:
SmMgZnGa2 | PBE | optimized geometry

Cell and atoms, written as POSCAR:
```
SmMgZnGa2
1.0
-0.1161 -4.2254 -0.1356
4.1670 -0.1372 0.7090
-2.9808 2.0283 5.2984
Sm Mg Zn Ga
1 1 1 2
Cartesian
0.0000 0.0000 0.0000
-0.5357 -2.1892 2.7247
1.6058 -0.1451 3.1470
1.8187 -2.2144 1.4956
-0.7485 -0.1199 4.3762
```

Results
The mass density comes out at 6.2 g/cm³. The value obtained for the magnetic moment is 0.00 μB/cell.

=====

Entry 6:
SmMgZnGa | PBE | optimized geometry

Cell and atoms, written as POSCAR:
```
SmMgZnGa
1.0
-4.6709 -1.1370 -1.1004
-2.9439 -1.9393 3.4488
-3.6959 2.6735 1.8747
Mg Zn Ga Sm
1 1 1 1
Cartesian
-5.6553 -0.2014 2.1115
-2.8277 -0.1007 1.0558
-8.4830 -0.3021 3.1673
0.0000 0.0000 0.0000
```

Results
The mass density comes out at 6.1 g/cm³. The value obtained for the magnetic moment is 0.00 μB/cell.

=====

Entry 7:
SmMg2ZnGa2 | PBE | optimized geometry

Cell and atoms, written as POSCAR:
```
SmMg2ZnGa2
1.0
-1.2287 4.8816 -1.4458
-4.5124 -1.7329 -2.0162
0.4377 -0.7770 6.4907
Sm Mg Zn Ga
1 2 1 2
Cartesian
-2.8706 1.5743 -1.7310
-3.4726 -0.4678 1.3718
-1.8308 2.8395 1.6570
0.0000 0.0000 0.0000
-4.2374 2.0223 0.9431
-1.0660 0.3494 2.0856
```

Results
The mass density comes out at 4.5 g/cm³. The value obtained for the magnetic moment is 0.00 μB/cell.

=====

Entry 8:
Sm4MgZn2Ga | PBE | optimized geometry

Cell and atoms, written as POSCAR:
```
Sm4MgZn2Ga
1.0
-4.0447 -0.3685 -3.2676
0.4893 -2.6448 -4.4652
-3.7309 -8.1572 1.3801
Sm Mg Zn Ga
4 1 2 1
Cartesian
-4.5591 -8.1588 -1.7525
-4.5434 -5.7891 -6.1969
-2.7429 -5.3813 -0.1559
-2.7272 -3.0117 -4.6003
0.0000 0.0000 0.0000
-5.5246 -8.5463 -4.6714
-1.7616 -2.6242 -1.6814
-3.6431 -5.5852 -3.1764
```

Results
The mass density comes out at 6.8 g/cm³. The value obtained for the magnetic moment is 0.00 μB/cell.

=====

Taking the records one at a time from the top gives E_form values of -223; -355; -285; -330; -447; -390; 54; -320 meV/atom.